Entry 1:
Material: CsBa2CdCo
Method: DFT, PBE-GGA
State: optimized geometry

a = 5.875 Å, b = 5.875 Å, c = 6.250 Å
α = 90.00°, β = 90.00°, γ = 90.00°
Space group P4/mmm (No. 123)
One atom of each set of equivalent atoms:
1 Cs 0.000 0.000 0.000
2 Ba 0.000 0.500 0.500
3 Cd 0.500 0.500 0.000
4 Co 0.000 0.000 0.500

Output
theoretical density: 4.46 g/cm3
DFT formation energy: 0.3954 eV/atom
Fermi-level density of states: 6.1 states/eV/cell

Entry 2:
Material: ZnGaNi
Method: DFT, PBE-GGA
State: optimized geometry

a = 4.194 Å, b = 4.194 Å, c = 5.240 Å
α = 90.00°, β = 90.00°, γ = 90.00°
Space group P4_2/mmc (No. 131)
One atom of each set of equivalent atoms:
1 Zn 0.000 0.500 0.000
2 Ga 0.000 0.500 0.500
3 Ni 0.000 0.000 0.250

Output
theoretical density: 6.99 g/cm3
DFT formation energy: -0.2753 eV/atom
Fermi-level density of states: 2.6 states/eV/cell

Entry 3:
Material: Li2CuTeSe4
Method: DFT, PBE-GGA
State: optimized geometry

a = 7.488 Å, b = 7.855 Å, c = 11.680 Å
α = 90.00°, β = 90.00°, γ = 90.00°
Space group Imma (No. 74)
One atom of each set of equivalent atoms:
1 Li 0.000 0.000 0.000
2 Li 0.250 0.250 0.250
3 Cu 0.250 0.250 0.750
4 Te 0.000 0.000 0.500
5 Se 0.000 0.040 0.743
6 Se 0.237 0.250 0.028

Output
theoretical density: 5.04 g/cm3
final energy: -3.552 eV per atom
Fermi-level density of states: 17.7 states/eV/cell

Entry 4:
Material: CsAsCl4
Method: DFT, PBE-GGA
State: optimized geometry

a = 9.254 Å, b = 16.505 Å, c = 6.382 Å
α = 90.00°, β = 116.38°, γ = 90.00°
Space group C2/c (No. 15)
One atom of each set of equivalent atoms:
1 Cs 0.000 0.110 0.250
2 As 0.000 0.412 0.750
3 Cl 0.092 0.323 0.573
4 Cl 0.232 0.076 0.902

Output
theoretical density: 2.66 g/cm3
final energy: -3.286 eV per atom
Fermi-level density of states: 0.0 states/eV/cell